{
  "formula": "NiMoCl3",
  "functional": "PBE",
  "state": "relaxed",
  "cell": [[4.6675, 0.0000, 0.0000], [0.0000, 4.6675, 0.0000], [0.0000, 0.0000, 4.6675]],
  "species": ["Ni", "Mo", "Cl", "Cl", "Cl"],
  "frac_coords": [[0.0000, 0.0000, 0.0000], [0.5000, 0.5000, 0.5000], [0.0000, 0.0000, 0.5000], [0.0000, 0.5000, 0.0000], [0.5000, 0.0000, 0.0000]],
  "e_above_lowest_polymorph_ev_per_fu": 0.00,
  "volume_a3_per_cell": 102,
  "e_tot_ev_per_atom": -4.12,
  "e_form_raw_kj_per_mol_fu": 149
}